# 1
The following is a DFT calculation (PBE) of a geometry-optimized LaScAu4 structure.

Energy relative to the lowest polymorph listed for this composition   0 meV per atom
Formation enthalpy at 0 K   -0.741 eV/atom
Density of states at the Fermi level   2.27 states/eV/f.u.
ρ   12.579 Mg/m³

Cell: 3.7096 3.7096 9.3218 Å, 90.00 90.00 90.00°
Fractional coordinates of all 6 atoms:
La  0.0000  0.0000  0.0000
Sc  0.5000  0.5000  0.5000
Au  0.0000  0.0000  0.3477
Au  0.0000  0.0000  0.6523
Au  0.5000  0.5000  0.1890
Au  0.5000  0.5000  0.8110

# 2
The following is a DFT calculation (PBE) of a geometry-optimized La2ScAu2 structure.

Energy relative to the lowest polymorph listed for this composition   0 meV per atom
Formation enthalpy at 0 K   -0.630 eV/atom
Density of states at the Fermi level   5.58 states/eV/f.u.
ρ   8.753 Mg/m³

Cell: 8.2117 8.2117 4.0328 Å, 90.00 90.00 90.00°
Fractional coordinates of all 10 atoms:
La  0.1712  0.3288  0.0000
La  0.3288  0.8288  0.0000
La  0.6712  0.1712  0.0000
La  0.8288  0.6712  0.0000
Sc  0.0000  0.0000  0.5000
Sc  0.5000  0.5000  0.5000
Au  0.1319  0.6319  0.5000
Au  0.3681  0.1319  0.5000
Au  0.6319  0.8681  0.5000
Au  0.8681  0.3681  0.5000

# 3
The following is a DFT calculation (PBE) of a geometry-optimized La2ScAu structure.

Energy relative to the lowest polymorph listed for this composition   166 meV per atom
Formation enthalpy at 0 K   -0.206 eV/atom
Density of states at the Fermi level   6.73 states/eV/f.u.
ρ   7.905 Mg/m³

Cell: 6.1165 6.1165 6.1165 Å, 135.94 135.94 64.08°
Fractional coordinates of all 4 atoms:
La  0.0000  0.0000  0.0000
La  0.7500  0.2500  0.5000
Sc  0.2500  0.7500  0.5000
Au  0.5000  0.5000  0.0000

# 4
The following is a DFT calculation (PBE) of a geometry-optimized LaScAu2 structure.

Formation enthalpy at 0 K   -0.704 eV/atom
Density of states at the Fermi level   3.22 states/eV/f.u.
ρ   10.205 Mg/m³

Cell: 5.1243 5.1243 3.5804 Å, 90.00 90.00 90.06°
Fractional coordinates of all 4 atoms:
La  0.0000  0.0000  0.0000
Sc  0.5000  0.5000  0.0000
Au  0.0000  0.5000  0.5000
Au  0.5000  0.0000  0.5000

# 5
The following is a DFT calculation (PBE) of a geometry-optimized La2ScAu structure.

Energy relative to the lowest polymorph listed for this composition   196 meV per atom
Formation enthalpy at 0 K   -0.176 eV/atom
Density of states at the Fermi level   3.70 states/eV/f.u.
ρ   7.644 Mg/m³

Cell: 5.4251 5.4251 5.4251 Å, 60.00 60.00 60.00°
Fractional coordinates of all 4 atoms:
La  0.2500  0.2500  0.2500
La  0.7500  0.7500  0.7500
Sc  0.0000  0.0000  0.0000
Au  0.5000  0.5000  0.5000

# 6
The following is a DFT calculation (PBE) of a geometry-optimized LaScAu structure.

Energy relative to the lowest polymorph listed for this composition   167 meV per atom
Formation enthalpy at 0 K   -0.446 eV/atom
Density of states at the Fermi level   3.46 states/eV/f.u.
ρ   7.894 Mg/m³

Cell: 4.8037 4.8037 4.0086 Å, 90.00 90.00 120.00°
Fractional coordinates of all 3 atoms:
La  0.0000  0.0000  0.0000
Sc  0.6667  0.3333  0.5000
Au  0.3333  0.6667  0.5028

# 7
The following is a DFT calculation (PBE) of a geometry-optimized LaSc2Au structure.

Energy relative to the lowest polymorph listed for this composition   209 meV per atom
Formation enthalpy at 0 K   -0.162 eV/atom
Density of states at the Fermi level   5.86 states/eV/f.u.
ρ   7.078 Mg/m³

Cell: 5.9769 5.9769 5.9769 Å, 136.50 136.50 63.21°
Fractional coordinates of all 4 atoms:
La  0.0000  0.0000  0.0000
Sc  0.2500  0.7500  0.5000
Sc  0.7500  0.2500  0.5000
Au  0.5000  0.5000  0.0000

# 8
The following is a DFT calculation (PBE) of a geometry-optimized LaSc2Au structure.

Energy relative to the lowest polymorph listed for this composition   148 meV per atom
Formation enthalpy at 0 K   -0.223 eV/atom
Density of states at the Fermi level   6.77 states/eV/f.u.
ρ   7.184 Mg/m³

Cell: 4.5492 4.5492 4.7554 Å, 90.00 90.00 90.00°
Fractional coordinates of all 4 atoms:
La  0.0000  0.0000  0.0000
Sc  0.0000  0.5000  0.5000
Sc  0.5000  0.0000  0.5000
Au  0.5000  0.5000  0.0000